Entry 1:
Here is crystalline BaTa2Zn at its relaxed geometry from Alexandria. Energies are from PBE.

Cell: 3.1367 3.7955 7.8826 Å, 90.00 90.00 90.00°
Space group Pmmm (No. 47)
Inequivalent atoms, fractional coordinates:
Ba (0.0000, 0.0000, 0.0000) (multiplicity 1)
Ta (0.5000, 0.5000, 0.3362) (multiplicity 2)
Zn (0.0000, 0.0000, 0.5000) (multiplicity 1)

Computed properties:
- Energy relative to the elements: 0.7292 eV/atom
- Calculated volume: 23.461 Å³ per atom
- Calculated total energy: -5.996 eV per atom


Entry 2:
Here is crystalline BaTaZn4 at its relaxed geometry from Alexandria. Energies are from PBE.

Cell: 7.7300 7.7300 7.7300 Å, 90.00 90.00 90.00°
Space group F-43m (No. 216)
Inequivalent atoms, fractional coordinates:
Ba (0.0000, 0.0000, 0.0000) (multiplicity 4)
Ta (0.2500, 0.2500, 0.7500) (multiplicity 4)
Zn (0.1216, 0.1216, 0.3784) (multiplicity 16)

Computed properties:
- Energy relative to the elements: 0.3202 eV/atom
- Calculated volume: 19.245 Å³ per atom
- Calculated total energy: -2.825 eV per atom


Entry 3:
Here is crystalline BaTa3Zn at its relaxed geometry from Alexandria. Energies are from PBE.

Cell: 4.9647 4.9647 4.9647 Å, 90.00 90.00 90.00°
Space group Pm-3m (No. 221)
Inequivalent atoms, fractional coordinates:
Ba (0.0000, 0.0000, 0.0000) (multiplicity 1)
Ta (0.0000, 0.5000, 0.5000) (multiplicity 3)
Zn (0.5000, 0.5000, 0.5000) (multiplicity 1)

Computed properties:
- Energy relative to the elements: 1.5512 eV/atom
- Calculated volume: 24.475 Å³ per atom
- Calculated total energy: -6.200 eV per atom


Entry 4:
Here is crystalline BaTaZn2 at its relaxed geometry from Alexandria. Energies are from PBE.

Cell: 3.2796 3.2796 28.9495 Å, 90.00 90.00 120.00°
Space group R-3m (No. 166, hexagonal axes)
Inequivalent atoms, fractional coordinates:
Ba (0.0000, 0.0000, 0.0000) (multiplicity 3)
Ta (0.0000, 0.0000, 0.5000) (multiplicity 3)
Zn (0.0000, 0.0000, 0.2361) (multiplicity 6)

Computed properties:
- Energy relative to the elements: 0.5031 eV/atom
- Calculated volume: 22.471 Å³ per atom
- Calculated total energy: -3.578 eV per atom


Entry 5:
Here is crystalline BaTaZn2 at its relaxed geometry from Alexandria. Energies are from PBE.

Cell: 3.0606 5.4723 10.5930 Å, 90.00 90.00 90.00°
Space group Imm2 (No. 44)
Inequivalent atoms, fractional coordinates:
Ba (0.0000, 0.0000, 0.0000) (multiplicity 2)
Ta (0.0000, 0.5000, 0.7892) (multiplicity 2)
Zn (0.0000, 0.0000, 0.5105) (multiplicity 2)
Zn (0.0000, 0.5000, 0.2228) (multiplicity 2)

Computed properties:
- Energy relative to the elements: 0.5878 eV/atom
- Calculated volume: 22.177 Å³ per atom
- Calculated total energy: -3.493 eV per atom


Entry 6:
Here is crystalline BaTaZn2 at its relaxed geometry from Alexandria. Energies are from PBE.

Cell: 7.2174 7.2174 7.2174 Å, 90.00 90.00 90.00°
Space group F-43m (No. 216)
Inequivalent atoms, fractional coordinates:
Ba (0.0000, 0.0000, 0.0000) (multiplicity 4)
Ta (0.2500, 0.2500, 0.7500) (multiplicity 4)
Zn (0.0000, 0.0000, 0.5000) (multiplicity 4)
Zn (0.2500, 0.2500, 0.2500) (multiplicity 4)

Computed properties:
- Energy relative to the elements: 0.9487 eV/atom
- Calculated volume: 23.497 Å³ per atom
- Calculated total energy: -3.132 eV per atom


Entry 7:
Here is crystalline BaTaZn2 at its relaxed geometry from Alexandria. Energies are from PBE.

Cell: 5.0609 5.0609 18.8983 Å, 90.00 90.00 90.00°
Space group I4_1/amd (No. 141, origin choice 2)
Inequivalent atoms, fractional coordinates:
Ba (0.0000, 0.2500, 0.3750) (multiplicity 4)
Ta (0.0000, 0.2500, 0.8750) (multiplicity 4)
Zn (0.0000, 0.0000, 0.0000) (multiplicity 8)

Computed properties:
- Energy relative to the elements: 0.7326 eV/atom
- Calculated volume: 30.253 Å³ per atom
- Calculated total energy: -3.348 eV per atom


Entry 8:
Here is crystalline BaTa2Zn at its relaxed geometry from Alexandria. Energies are from PBE.

Cell: 4.2743 4.2743 9.8109 Å, 90.00 90.00 90.00°
Space group I4/mmm (No. 139)
Inequivalent atoms, fractional coordinates:
Ba (0.0000, 0.0000, 0.0000) (multiplicity 2)
Ta (0.0000, 0.5000, 0.2500) (multiplicity 4)
Zn (0.0000, 0.0000, 0.5000) (multiplicity 2)

Computed properties:
- Energy relative to the elements: 1.0885 eV/atom
- Calculated volume: 22.405 Å³ per atom
- Calculated total energy: -5.637 eV per atom


Entry 9:
Here is crystalline BaTaZn2 at its relaxed geometry from Alexandria. Energies are from PBE.

Cell: 3.1418 3.9712 7.6394 Å, 90.00 90.00 90.00°
Space group Pmm2 (No. 25)
Inequivalent atoms, fractional coordinates:
Ba (0.0000, 0.0000, 0.0000) (multiplicity 1)
Ta (0.5000, 0.5000, 0.3459) (multiplicity 1)
Zn (0.0000, 0.0000, 0.4861) (multiplicity 1)
Zn (0.5000, 0.5000, 0.6897) (multiplicity 1)

Computed properties:
- Energy relative to the elements: 0.5010 eV/atom
- Calculated volume: 23.829 Å³ per atom
- Calculated total energy: -3.580 eV per atom


Entry 10:
Here is crystalline BaTaZn2 at its relaxed geometry from Alexandria. Energies are from PBE.

Cell: 3.1192 3.1192 8.9641 Å, 90.00 90.00 90.00°
Space group P4mm (No. 99)
Inequivalent atoms, fractional coordinates:
Ba (0.0000, 0.0000, 0.0000) (multiplicity 1)
Ta (0.5000, 0.5000, 0.3356) (multiplicity 1)
Zn (0.0000, 0.0000, 0.5297) (multiplicity 1)
Zn (0.5000, 0.5000, 0.6999) (multiplicity 1)

Computed properties:
- Energy relative to the elements: 0.4264 eV/atom
- Calculated volume: 21.804 Å³ per atom
- Calculated total energy: -3.654 eV per atom


Entry 11:
Here is crystalline BaTa2Zn at its relaxed geometry from Alexandria. Energies are from PBE.

Cell: 3.9460 4.5752 9.9011 Å, 90.00 90.00 90.00°
Space group Cmm2 (No. 35)
Inequivalent atoms, fractional coordinates:
Ba (0.0000, 0.0000, 0.0000) (multiplicity 2)
Ta (0.0000, 0.0000, 0.4709) (multiplicity 2)
Ta (0.0000, 0.5000, 0.6819) (multiplicity 2)
Zn (0.0000, 0.5000, 0.2759) (multiplicity 2)

Computed properties:
- Energy relative to the elements: 0.5301 eV/atom
- Calculated volume: 22.344 Å³ per atom
- Calculated total energy: -6.195 eV per atom


Entry 12:
Here is crystalline BaTaZn2 at its relaxed geometry from Alexandria. Energies are from PBE.

Cell: 7.1651 7.1651 7.1651 Å, 90.00 90.00 90.00°
Space group Fm-3m (No. 225)
Inequivalent atoms, fractional coordinates:
Ba (0.0000, 0.0000, 0.0000) (multiplicity 4)
Ta (0.0000, 0.0000, 0.5000) (multiplicity 4)
Zn (0.2500, 0.2500, 0.2500) (multiplicity 8)

Computed properties:
- Energy relative to the elements: 0.6863 eV/atom
- Calculated volume: 22.990 Å³ per atom
- Calculated total energy: -3.394 eV per atom


Entry 13:
Here is crystalline BaTaZn2 at its relaxed geometry from Alexandria. Energies are from PBE.

Cell: 4.3144 4.3144 9.9382 Å, 90.00 90.00 90.00°
Space group I-4m2 (No. 119)
Inequivalent atoms, fractional coordinates:
Ba (0.0000, 0.0000, 0.0000) (multiplicity 2)
Ta (0.0000, 0.5000, 0.7500) (multiplicity 2)
Zn (0.0000, 0.0000, 0.5000) (multiplicity 2)
Zn (0.0000, 0.5000, 0.2500) (multiplicity 2)

Computed properties:
- Energy relative to the elements: 0.8161 eV/atom
- Calculated volume: 23.124 Å³ per atom
- Calculated total energy: -3.265 eV per atom


Entry 14:
Here is crystalline BaTa2Zn at its relaxed geometry from Alexandria. Energies are from PBE.

Cell: 4.2215 4.2297 9.8486 Å, 90.00 90.00 90.00°
Space group Cmmm (No. 65)
Inequivalent atoms, fractional coordinates:
Ba (0.0000, 0.0000, 0.0000) (multiplicity 2)
Ta (0.0000, 0.5000, 0.3126) (multiplicity 4)
Zn (0.0000, 0.0000, 0.5000) (multiplicity 2)

Computed properties:
- Energy relative to the elements: 0.7266 eV/atom
- Calculated volume: 21.981 Å³ per atom
- Calculated total energy: -5.999 eV per atom


Entry 15:
Here is crystalline BaTaZn3 at its relaxed geometry from Alexandria. Energies are from PBE.

Cell: 5.4195 5.4195 5.4195 Å, 90.00 90.00 90.00°
Space group Pm-3m (No. 221)
Inequivalent atoms, fractional coordinates:
Ba (0.0000, 0.0000, 0.0000) (multiplicity 1)
Ta (0.5000, 0.5000, 0.5000) (multiplicity 1)
Zn (0.0000, 0.0000, 0.5000) (multiplicity 3)

Computed properties:
- Energy relative to the elements: 2.0074 eV/atom
- Calculated volume: 31.836 Å³ per atom
- Calculated total energy: -1.512 eV per atom


Entry 16:
Here is crystalline BaTa2Zn at its relaxed geometry from Alexandria. Energies are from PBE.

Cell: 3.1096 5.8893 10.7642 Å, 90.00 90.00 90.00°
Space group Imm2 (No. 44)
Inequivalent atoms, fractional coordinates:
Ba (0.0000, 0.0000, 0.0000) (multiplicity 2)
Ta (0.0000, 0.0000, 0.4946) (multiplicity 2)
Ta (0.0000, 0.5000, 0.7950) (multiplicity 2)
Zn (0.0000, 0.5000, 0.2146) (multiplicity 2)

Computed properties:
- Energy relative to the elements: 0.9306 eV/atom
- Calculated volume: 24.641 Å³ per atom
- Calculated total energy: -5.795 eV per atom


Entry 17:
Here is crystalline BaTa2Zn at its relaxed geometry from Alexandria. Energies are from PBE.

Cell: 6.0036 10.4310 2.8941 Å, 90.00 90.00 90.00°
Space group Cmmm (No. 65)
Inequivalent atoms, fractional coordinates:
Ba (0.0000, 0.0000, 0.0000) (multiplicity 2)
Ta (0.2500, 0.2500, 0.5000) (multiplicity 4)
Zn (0.0000, 0.5000, 0.0000) (multiplicity 2)

Computed properties:
- Energy relative to the elements: 1.1362 eV/atom
- Calculated volume: 22.655 Å³ per atom
- Calculated total energy: -5.589 eV per atom


Entry 18:
Here is crystalline BaTa2Zn at its relaxed geometry from Alexandria. Energies are from PBE.

Cell: 11.2163 3.0214 5.6745 Å, 90.00 102.52 90.00°
Space group C2/m (No. 12)
Inequivalent atoms, fractional coordinates:
Ba (0.0000, 0.0000, 0.0000) (multiplicity 2)
Ta (0.2144, 0.0000, 0.6718) (multiplicity 4)
Zn (0.0000, 0.5000, 0.5000) (multiplicity 2)

Computed properties:
- Energy relative to the elements: 0.6704 eV/atom
- Calculated volume: 23.466 Å³ per atom
- Calculated total energy: -6.055 eV per atom


Entry 19:
Here is crystalline BaTa2Zn at its relaxed geometry from Alexandria. Energies are from PBE.

Cell: 3.0375 3.0375 9.7208 Å, 90.00 90.00 90.00°
Space group P4mm (No. 99)
Inequivalent atoms, fractional coordinates:
Ba (0.0000, 0.0000, 0.0000) (multiplicity 1)
Ta (0.0000, 0.0000, 0.5371) (multiplicity 1)
Ta (0.5000, 0.5000, 0.3237) (multiplicity 1)
Zn (0.5000, 0.5000, 0.7255) (multiplicity 1)

Computed properties:
- Energy relative to the elements: 0.5343 eV/atom
- Calculated volume: 22.422 Å³ per atom
- Calculated total energy: -6.191 eV per atom


Entry 20:
Here is crystalline BaTaZn2 at its relaxed geometry from Alexandria. Energies are from PBE.

Cell: 3.1334 3.8324 7.5000 Å, 90.00 90.00 90.00°
Space group Pmmm (No. 47)
Inequivalent atoms, fractional coordinates:
Ba (0.0000, 0.0000, 0.0000) (multiplicity 1)
Ta (0.0000, 0.0000, 0.5000) (multiplicity 1)
Zn (0.5000, 0.5000, 0.3244) (multiplicity 2)

Computed properties:
- Energy relative to the elements: 0.2524 eV/atom
- Calculated volume: 22.515 Å³ per atom
- Calculated total energy: -3.828 eV per atom